# 1
# LiHfTi3

LiHfTi3 after structural relaxation (GGA-PBEsol, the Alexandria database).

Values from the calculation:
The total magnetization comes out at 0.000 μB/atom. The total DFT energy (no corrections) is -6.28 eV/atom.

Cell: 4.856 4.856 4.856 Å, 90.00 90.00 90.00°
Sites, in units of the cell vectors:
Li 0.500 0.500 0.500
Ti 0.000 0.500 0.000
Ti 0.500 0.000 0.000
Hf 0.000 0.000 0.000
Ti 0.000 0.000 0.500

***

# 2
# LiYHf3

LiYHf3 after structural relaxation (GGA-PBEsol, the Alexandria database).

Values from the calculation:
The total magnetization comes out at 0.000 μB/atom. The total DFT energy (no corrections) is -6.48 eV/atom.

Cell: 5.159 5.159 5.159 Å, 90.00 90.00 90.00°
Sites, in units of the cell vectors:
Hf 0.000 0.500 0.000
Hf 0.000 0.000 0.500
Li 0.500 0.500 0.500
Hf 0.500 0.000 0.000
Y 0.000 0.000 0.000

***

# 3
# LiYHf2

LiYHf2 after structural relaxation (GGA-PBEsol, the Alexandria database).

Values from the calculation:
The total magnetization comes out at 0.000 μB/atom. The total DFT energy (no corrections) is -6.92 eV/atom.

Cell: 4.966 4.966 4.966 Å, 60.00 60.00 60.00°
Sites, in units of the cell vectors:
Hf 0.250 0.250 0.250
Li 0.000 0.000 0.000
Hf 0.750 0.750 0.750
Y 0.500 0.500 0.500

***

# 4
# Li2HfZr2

Li2HfZr2 after structural relaxation (GGA-PBEsol, the Alexandria database).

Values from the calculation:
The total magnetization comes out at 0.000 μB/atom. The total DFT energy (no corrections) is -6.06 eV/atom.

Cell: 4.488 4.488 5.618 Å, 113.54 113.54 90.00°
Sites, in units of the cell vectors:
Li 0.596 0.596 0.193
Zr 0.250 0.750 0.500
Zr 0.750 0.250 0.500
Hf 0.000 0.000 0.000
Li 0.404 0.404 0.807

***

# 5
# Lu4Hf3O12

Lu4Hf3O12 after structural relaxation (GGA-PBEsol, the Alexandria database).

Values from the calculation:
The total magnetization comes out at 0.000 μB/atom. The total DFT energy (no corrections) is -9.71 eV/atom. The value obtained for the formation energy (no corrections) is -3714 meV/atom.

Cell: 6.204 6.267 12.435 Å, 99.35 99.28 99.42°
Sites, in units of the cell vectors:
Hf 0.390 0.858 0.095
O 0.185 0.591 0.969
O 0.071 0.921 0.092
O 0.036 0.896 0.588
O 0.410 0.569 0.658
O 0.569 0.830 0.962
Lu 0.388 0.865 0.597
Hf 0.007 0.006 0.252
Lu 0.612 0.135 0.403
O 0.430 0.581 0.158
O 0.964 0.104 0.412
O 0.925 0.679 0.778
O 0.929 0.079 0.908
O 0.683 0.041 0.204
Hf 0.146 0.324 0.554
O 0.077 0.308 0.711
O 0.323 0.942 0.284
O 0.826 0.424 0.535
O 0.075 0.321 0.222
O 0.586 0.820 0.462
O 0.317 0.959 0.796
Hf 0.993 0.994 0.748
O 0.590 0.431 0.342
Lu 0.299 0.611 0.819
O 0.815 0.409 0.031
O 0.431 0.170 0.038
O 0.414 0.180 0.538
O 0.923 0.692 0.289
Lu 0.688 0.390 0.682
Lu 0.142 0.309 0.054
Hf 0.610 0.142 0.905
O 0.570 0.419 0.842
Lu 0.312 0.610 0.318
Lu 0.858 0.691 0.946
Hf 0.854 0.676 0.446
O 0.174 0.576 0.465
Lu 0.701 0.389 0.181
O 0.677 0.058 0.716

***

# 6
# Hf3Mg

Hf3Mg after structural relaxation (GGA-PBEsol, the Alexandria database).

Values from the calculation:
The total magnetization comes out at 0.000 μB/atom. The total DFT energy (no corrections) is -8.22 eV/atom.

Cell: 4.340 4.340 5.398 Å, 113.70 113.70 90.00°
Sites, in units of the cell vectors:
Hf 0.500 0.500 0.000
Hf 0.250 0.750 0.500
Mg 0.000 0.000 0.000
Hf 0.750 0.250 0.500

***

# 7
# HfMgNbMo2

HfMgNbMo2 after structural relaxation (GGA-PBEsol, the Alexandria database).

Values from the calculation:
The total magnetization comes out at 0.001 μB/atom. The total DFT energy (no corrections) is -7.41 eV/atom.

Cell: 4.663 4.663 4.901 Å, 90.00 90.00 90.00°
Sites, in units of the cell vectors:
Mo 0.000 0.500 0.000
Mg 0.000 0.000 0.500
Hf 0.000 0.000 0.000
Nb 0.500 0.500 0.500
Mo 0.500 0.000 0.000

***

# 8
# Hf2MgNiMo

Hf2MgNiMo after structural relaxation (GGA-PBEsol, the Alexandria database).

Values from the calculation:
The total magnetization comes out at 0.000 μB/atom. The total DFT energy (no corrections) is -7.49 eV/atom.

Cell: 4.362 4.703 4.703 Å, 90.00 90.00 90.00°
Sites, in units of the cell vectors:
Hf 0.000 0.500 0.000
Ni 0.000 0.000 0.000
Mg 0.500 0.000 0.000
Hf 0.000 0.000 0.500
Mo 0.500 0.500 0.500

***

# 9
# Hf2MgMoS

Hf2MgMoS after structural relaxation (GGA-PBEsol, the Alexandria database).

Values from the calculation:
The total magnetization comes out at 0.000 μB/atom. The total DFT energy (no corrections) is -6.29 eV/atom. The value obtained for the formation energy (no corrections) is 1489 meV/atom.

Cell: 4.161 5.004 5.004 Å, 90.00 90.00 90.00°
Sites, in units of the cell vectors:
Mo 0.500 0.500 0.500
S 0.500 0.000 0.000
Mg 0.000 0.000 0.000
Hf 0.000 0.500 0.000
Hf 0.000 0.000 0.500

***

# 10
# Hf3MgN

Hf3MgN after structural relaxation (GGA-PBEsol, the Alexandria database).

Values from the calculation:
The total magnetization comes out at 0.000 μB/atom. The total DFT energy (no corrections) is -9.10 eV/atom. The value obtained for the formation energy (no corrections) is -750 meV/atom.

Cell: 4.418 4.418 4.418 Å, 90.00 90.00 90.00°
Sites, in units of the cell vectors:
Hf 0.000 0.000 0.500
Hf 0.000 0.500 0.000
Mg 0.500 0.500 0.500
Hf 0.500 0.000 0.000
N 0.000 0.000 0.000

***

# 11
# HfMg2PN

HfMg2PN after structural relaxation (GGA-PBEsol, the Alexandria database).

Values from the calculation:
The total magnetization comes out at 0.000 μB/atom. The total DFT energy (no corrections) is -4.85 eV/atom. The value obtained for the formation energy (no corrections) is 804 meV/atom.

Cell: 4.552 4.552 4.822 Å, 90.00 90.00 90.00°
Sites, in units of the cell vectors:
Mg 0.000 0.500 0.000
Mg 0.500 0.000 0.000
P 0.000 0.000 0.000
Hf 0.000 0.000 0.500
N 0.500 0.500 0.500

***

# 12
# HfMgSeN2

HfMgSeN2 after structural relaxation (GGA-PBEsol, the Alexandria database).

Values from the calculation:
The total magnetization comes out at 0.000 μB/atom. The total DFT energy (no corrections) is -5.16 eV/atom. The value obtained for the formation energy (no corrections) is 1465 meV/atom.

Cell: 4.136 4.136 4.931 Å, 90.00 90.00 90.00°
Sites, in units of the cell vectors:
Mg 0.500 0.500 0.500
N 0.500 0.000 0.000
N 0.000 0.500 0.000
Hf 0.000 0.000 0.500
Se 0.000 0.000 0.000

***

# 13
# HfMgNb2Rh

HfMgNb2Rh after structural relaxation (GGA-PBEsol, the Alexandria database).

Values from the calculation:
The total magnetization comes out at 0.000 μB/atom. The total DFT energy (no corrections) is -7.63 eV/atom.

Cell: 4.659 4.791 4.791 Å, 90.00 90.00 90.00°
Sites, in units of the cell vectors:
Nb 0.000 0.500 0.000
Mg 0.500 0.000 0.000
Hf 0.500 0.500 0.500
Nb 0.000 0.000 0.500
Rh 0.000 0.000 0.000

***

# 14
# HfMg3O

HfMg3O after structural relaxation (GGA-PBEsol, the Alexandria database).

Values from the calculation:
The total magnetization comes out at 0.197 μB/atom. The total DFT energy (no corrections) is -4.62 eV/atom. The value obtained for the formation energy (no corrections) is -440 meV/atom.

Cell: 4.410 4.410 4.410 Å, 90.00 90.00 90.00°
Sites, in units of the cell vectors:
O 0.000 0.000 0.000
Hf 0.500 0.500 0.500
Mg 0.000 0.000 0.500
Mg 0.000 0.500 0.000
Mg 0.500 0.000 0.000

***

# 15
# HfMg3Os

HfMg3Os after structural relaxation (GGA-PBEsol, the Alexandria database).

Values from the calculation:
The total magnetization comes out at 0.000 μB/atom. The total DFT energy (no corrections) is -4.63 eV/atom.

Cell: 4.827 4.827 4.827 Å, 90.00 90.00 90.00°
Sites, in units of the cell vectors:
Hf 0.500 0.500 0.500
Mg 0.000 0.500 0.000
Mg 0.000 0.000 0.500
Os 0.000 0.000 0.000
Mg 0.500 0.000 0.000

***

# 16
# HfMg2OsPd

HfMg2OsPd after structural relaxation (GGA-PBEsol, the Alexandria database).

Values from the calculation:
The total magnetization comes out at 0.000 μB/atom. The total DFT energy (no corrections) is -5.64 eV/atom.

Cell: 4.481 4.481 5.005 Å, 90.00 90.00 90.00°
Sites, in units of the cell vectors:
Hf 0.500 0.500 0.500
Os 0.000 0.000 0.500
Mg 0.000 0.500 0.000
Mg 0.500 0.000 0.000
Pd 0.000 0.000 0.000

***

# 17
# HfMgP3

HfMgP3 after structural relaxation (GGA-PBEsol, the Alexandria database).

Values from the calculation:
The total magnetization comes out at 0.000 μB/atom. The total DFT energy (no corrections) is -5.73 eV/atom.

Cell: 4.898 4.898 4.898 Å, 90.00 90.00 90.00°
Sites, in units of the cell vectors:
P 0.500 0.000 0.000
Hf 0.000 0.000 0.000
P 0.000 0.000 0.500
Mg 0.500 0.500 0.500
P 0.000 0.500 0.000

***

# 18
# HfMg3Pb

HfMg3Pb after structural relaxation (GGA-PBEsol, the Alexandria database).

Values from the calculation:
The total magnetization comes out at 0.000 μB/atom. The total DFT energy (no corrections) is -3.00 eV/atom.

Cell: 5.231 5.231 5.231 Å, 90.00 90.00 90.00°
Sites, in units of the cell vectors:
Pb 0.000 0.000 0.000
Hf 0.500 0.500 0.500
Mg 0.500 0.000 0.000
Mg 0.000 0.500 0.000
Mg 0.000 0.000 0.500

***

# 19
# HfMg2ScPb

HfMg2ScPb after structural relaxation (GGA-PBEsol, the Alexandria database).

Values from the calculation:
The total magnetization comes out at 0.237 μB/atom. The total DFT energy (no corrections) is -4.11 eV/atom.

Cell: 5.150 5.150 5.481 Å, 90.00 90.00 90.00°
Sites, in units of the cell vectors:
Mg 0.000 0.500 0.000
Sc 0.500 0.500 0.500
Mg 0.500 0.000 0.000
Pb 0.000 0.000 0.000
Hf 0.000 0.000 0.500

***

# 20
# HfMg2Pt2

HfMg2Pt2 after structural relaxation (GGA-PBEsol, the Alexandria database).

Values from the calculation:
The total magnetization comes out at 0.000 μB/atom. The total DFT energy (no corrections) is -6.16 eV/atom.

Cell: 3.682 3.682 7.049 Å, 105.14 105.14 90.00°
Sites, in units of the cell vectors:
Pt 0.400 0.400 0.800
Mg 0.250 0.750 0.500
Hf 0.000 0.000 0.000
Pt 0.600 0.600 0.200
Mg 0.750 0.250 0.500